Record 1
This record from the Alexandria database describes a relaxed structure of Li5TlCdSn2. The functional is PBE.

a b c (Å): 7.8075 7.8075 13.3147
angles (deg): 90.00 90.00 90.00
With the nearest neighbours (Å) after each atom.
Space group I4/mcm (No. 140)
Inequivalent atoms, fractional coordinates:
Li  0.0000  0.0000  0.0000  4 Sn 3.09, 8 Li 3.32, 2 Cd 3.33
Li  0.1989  0.3011  0.1322  1 Sn 2.63, 1 Tl 2.70
Tl  0.0000  0.5000  0.2500  4 Li 2.70
Cd  0.0000  0.0000  0.2500  10 Li 3.22-3.33
Sn  0.1237  0.3763  0.5000  2 Li 2.63, 1 Sn 2.73

Output
Energy of formation from the pure elements, kJ/mol of atoms: -14.8
Total magnetization, μB/f.u.: 0.0
Calculated total energy, eV/atom: -2.471

Record 2
This record from the Alexandria database describes a relaxed structure of SrPuPd. The functional is PBE.

a b c (Å): 3.6415 3.6415 13.2452
angles (deg): 90.00 90.00 90.00
With the nearest neighbours (Å) after each atom.
Space group I4mm (No. 107)
Inequivalent atoms, fractional coordinates:
Sr  0.0000  0.0000  0.0000  4 Pd 3.30, 1 Pu 3.55, 4 Sr 3.64
Pu  0.0000  0.0000  0.2682  4 Pd 2.98
Pd  0.0000  0.0000  0.6556  4 Pu 2.98, 4 Sr 3.30

Output
Energy of formation from the pure elements, kJ/mol of atoms: -16.2
Total magnetization, μB/f.u.: 6.1
Calculated total energy, eV/atom: -7.237

Record 3
This record from the Alexandria database describes a relaxed structure of BaSiAs. The functional is PBE.

a b c (Å): 7.1959 7.1959 7.1959
angles (deg): 90.00 90.00 90.00
With the nearest neighbours (Å) after each atom.
Space group F-43m (No. 216)
Inequivalent atoms, fractional coordinates:
Ba  0.0000  0.0000  0.0000  4 Si 3.12
Si  0.2500  0.2500  0.7500  4 Ba 3.12, 4 As 3.12
As  0.0000  0.0000  0.5000  4 Si 3.12

Output
Total magnetization, μB/f.u.: 0.0
Calculated total energy, eV/atom: -4.002